Entry 1:
The following is a DFT calculation (PBE) of an optimized crystal structure of LiSc2Tc.

Values from the calculation:
DFT total energy	-6.261	eV per atom
theoretical density	4.53	g cm⁻³
E above lowest polymorph	112	meV per atom

```
data_LiSc2Tc
_cell_length_a 4.627
_cell_length_b 4.627
_cell_length_c 3.334
_cell_angle_alpha 90.00
_cell_angle_beta 90.00
_cell_angle_gamma 90.00
_space_group_name_H-M_alt 'P 1'
_space_group_IT_number 1
loop_
_space_group_symop_operation_xyz
'x,y,z'
loop_
_atom_site_label
_atom_site_fract_x
_atom_site_fract_y
_atom_site_fract_z
Sc1 0.000 0.500 0.500
Li1 0.000 0.000 0.000
Sc2 0.500 0.000 0.500
Tc1 0.500 0.500 0.000
```

---

Entry 2:
The following is a DFT calculation (PBE) of an optimized crystal structure of LiSc2Tc.

Values from the calculation:
DFT total energy	-6.261	eV per atom
theoretical density	4.54	g cm⁻³
E above lowest polymorph	113	meV per atom

```
data_LiSc2Tc
_cell_length_a 6.541
_cell_length_b 6.542
_cell_length_c 6.664
_cell_angle_alpha 90.00
_cell_angle_beta 90.00
_cell_angle_gamma 90.00
_space_group_name_H-M_alt 'P 1'
_space_group_IT_number 1
loop_
_space_group_symop_operation_xyz
'x,y,z'
loop_
_atom_site_label
_atom_site_fract_x
_atom_site_fract_y
_atom_site_fract_z
Sc1 0.000 0.000 0.750
Tc1 0.750 0.250 0.000
Sc2 0.000 0.500 0.750
Sc3 0.500 0.500 0.750
Li1 0.750 0.750 0.000
Li2 0.250 0.250 0.000
Sc4 0.000 0.000 0.250
Tc2 0.250 0.750 0.500
Li3 0.250 0.250 0.500
Sc5 0.500 0.000 0.750
Sc6 0.500 0.000 0.250
Sc7 0.500 0.500 0.250
Li4 0.750 0.750 0.500
Tc3 0.250 0.750 0.000
Tc4 0.750 0.250 0.500
Sc8 0.000 0.500 0.250
```

---

Entry 3:
The following is a DFT calculation (PBE) of an optimized crystal structure of Li2ScTc.

Values from the calculation:
DFT total energy	-4.776	eV per atom
theoretical density	4.11	g cm⁻³

```
data_Li2ScTc
_cell_length_a 4.474
_cell_length_b 4.474
_cell_length_c 4.474
_cell_angle_alpha 60.00
_cell_angle_beta 60.00
_cell_angle_gamma 60.00
_space_group_name_H-M_alt 'P 1'
_space_group_IT_number 1
loop_
_space_group_symop_operation_xyz
'x,y,z'
loop_
_atom_site_label
_atom_site_fract_x
_atom_site_fract_y
_atom_site_fract_z
Li1 0.750 0.750 0.750
Sc1 0.000 0.000 0.000
Li2 0.500 0.500 0.500
Tc1 0.250 0.250 0.250
```

---

Entry 4:
The following is a DFT calculation (PBE) of an optimized crystal structure of LiSc2Tc.

Values from the calculation:
DFT total energy	-5.926	eV per atom
theoretical density	4.27	g cm⁻³
E above lowest polymorph	448	meV per atom

```
data_LiSc2Tc
_cell_length_a 4.250
_cell_length_b 4.250
_cell_length_c 9.696
_cell_angle_alpha 90.00
_cell_angle_beta 90.00
_cell_angle_gamma 120.00
_space_group_name_H-M_alt 'P 1'
_space_group_IT_number 1
loop_
_space_group_symop_operation_xyz
'x,y,z'
loop_
_atom_site_label
_atom_site_fract_x
_atom_site_fract_y
_atom_site_fract_z
Sc1 0.667 0.333 0.601
Sc2 0.333 0.667 0.101
Sc3 0.333 0.667 0.399
Li1 0.667 0.333 0.250
Sc4 0.667 0.333 0.899
Tc1 0.000 0.000 0.750
Tc2 0.000 0.000 0.250
Li2 0.333 0.667 0.750
```

---

Entry 5:
The following is a DFT calculation (PBE) of an optimized crystal structure of LiScZnTe3.

Values from the calculation:
DFT total energy	-4.012	eV per atom
theoretical density	5.19	g cm⁻³
E above lowest polymorph	3	meV per atom

```
data_LiScZnTe3
_cell_length_a 7.338
_cell_length_b 7.338
_cell_length_c 11.064
_cell_angle_alpha 90.00
_cell_angle_beta 90.00
_cell_angle_gamma 32.47
_space_group_name_H-M_alt 'P 1'
_space_group_IT_number 1
loop_
_space_group_symop_operation_xyz
'x,y,z'
loop_
_atom_site_label
_atom_site_fract_x
_atom_site_fract_y
_atom_site_fract_z
Te1 0.096 0.096 0.250
Te2 0.904 0.904 0.750
Li1 0.786 0.786 0.250
Te3 0.360 0.360 0.064
Sc1 0.000 0.000 0.000
Li2 0.214 0.214 0.750
Sc2 0.000 0.000 0.500
Te4 0.360 0.360 0.436
Zn1 0.477 0.477 0.250
Zn2 0.523 0.523 0.750
Te5 0.640 0.640 0.936
Te6 0.640 0.640 0.564
```

---

Entry 6:
The following is a DFT calculation (PBE) of an optimized crystal structure of LiScZnTe3.

Values from the calculation:
DFT total energy	-4.016	eV per atom
theoretical density	4.97	g cm⁻³
E above lowest polymorph	0	meV per atom

```
data_LiScZnTe3
_cell_length_a 4.147
_cell_length_b 11.350
_cell_length_c 14.198
_cell_angle_alpha 90.00
_cell_angle_beta 90.00
_cell_angle_gamma 90.00
_space_group_name_H-M_alt 'P 1'
_space_group_IT_number 1
loop_
_space_group_symop_operation_xyz
'x,y,z'
loop_
_atom_site_label
_atom_site_fract_x
_atom_site_fract_y
_atom_site_fract_z
Zn1 0.750 0.232 0.280
Sc1 0.250 0.498 0.247
Te1 0.750 0.547 0.113
Sc2 0.750 0.502 0.753
Te2 0.750 0.047 0.387
Te3 0.750 0.424 0.388
Li1 0.250 0.850 0.981
Te4 0.250 0.245 0.160
Te5 0.750 0.924 0.112
Te6 0.250 0.076 0.888
Zn2 0.750 0.732 0.220
Te7 0.250 0.453 0.887
Zn3 0.250 0.268 0.780
Zn4 0.250 0.768 0.720
Te8 0.250 0.953 0.613
Sc3 0.750 0.002 0.747
Te9 0.250 0.745 0.340
Li2 0.250 0.350 0.519
Te10 0.750 0.255 0.660
Li3 0.750 0.650 0.481
Te11 0.250 0.576 0.612
Li4 0.750 0.150 0.019
Sc4 0.250 0.998 0.253
Te12 0.750 0.755 0.840
```

---

Entry 7:
The following is a DFT calculation (PBE) of an optimized crystal structure of LiThSc.

Values from the calculation:
DFT total energy	-4.575	eV per atom
theoretical density	5.90	g cm⁻³
E above lowest polymorph	0	meV per atom

```
data_LiThSc
_cell_length_a 4.836
_cell_length_b 4.836
_cell_length_c 4.836
_cell_angle_alpha 60.00
_cell_angle_beta 60.00
_cell_angle_gamma 60.00
_space_group_name_H-M_alt 'P 1'
_space_group_IT_number 1
loop_
_space_group_symop_operation_xyz
'x,y,z'
loop_
_atom_site_label
_atom_site_fract_x
_atom_site_fract_y
_atom_site_fract_z
Sc1 0.250 0.250 0.250
Li1 0.000 0.000 0.000
Th1 0.750 0.750 0.750
```

---

Entry 8:
The following is a DFT calculation (PBE) of an optimized crystal structure of Li5Sc2U.

Values from the calculation:
DFT total energy	-3.265	eV per atom
theoretical density	3.49	g cm⁻³

```
data_Li5Sc2U
_cell_length_a 6.087
_cell_length_b 6.087
_cell_length_c 4.656
_cell_angle_alpha 90.00
_cell_angle_beta 90.00
_cell_angle_gamma 90.00
_space_group_name_H-M_alt 'P 1'
_space_group_IT_number 1
loop_
_space_group_symop_operation_xyz
'x,y,z'
loop_
_atom_site_label
_atom_site_fract_x
_atom_site_fract_y
_atom_site_fract_z
Li1 0.000 0.000 0.500
Li2 0.310 0.690 0.000
Li3 0.690 0.310 0.000
Sc1 0.500 0.000 0.500
Li4 0.690 0.690 0.000
Li5 0.310 0.310 0.000
U1 0.000 0.000 0.000
Sc2 0.000 0.500 0.500
```